(1)
# BeTlZn2 (PBE-GGA, relaxed)
# Volume, A^3/atom: 17.78
# DOS at the Fermi energy, states/eV/f.u.: 1.693
# Final energy, eV/atom: -1.662
data_BeTlZn2
_chemical_formula_sum 'Be1 Tl1 Zn2'
_cell_length_a 3.294
_cell_length_b 4.138
_cell_length_c 5.217
_cell_angle_alpha 90.00
_cell_angle_beta 90.00
_cell_angle_gamma 90.00
_space_group_name_H-M_alt 'P m m m'
_space_group_IT_number 47
_space_group_name_Hall '-P 2 2'
loop_
_atom_site_label
_atom_site_type_symbol
_atom_site_fract_x
_atom_site_fract_y
_atom_site_fract_z
Be1 Be 0.000 0.000 0.000
Tl1 Tl 0.500 0.500 0.000
Zn1 Zn 0.000 0.500 0.500
Zn2 Zn 0.500 0.000 0.500



(2)
# BeTl2Zn (PBE-GGA, relaxed)
# Volume, A^3/atom: 21.67
# DOS at the Fermi energy, states/eV/f.u.: 1.691
# Final energy, eV/atom: -1.902
data_BeTl2Zn
_chemical_formula_sum 'Be1 Tl2 Zn1'
_cell_length_a 3.304
_cell_length_b 3.304
_cell_length_c 7.937
_cell_angle_alpha 90.00
_cell_angle_beta 90.00
_cell_angle_gamma 90.00
_space_group_name_H-M_alt 'P 4/m m m'
_space_group_IT_number 123
_space_group_name_Hall '-P 4 2'
loop_
_atom_site_label
_atom_site_type_symbol
_atom_site_fract_x
_atom_site_fract_y
_atom_site_fract_z
Be1 Be 0.000 0.000 0.000
Tl1 Tl 0.500 0.500 0.222
Zn1 Zn 0.000 0.000 0.500



(3)
# BeTlZn2 (PBE-GGA, relaxed)
# Volume, A^3/atom: 19.56
# DOS at the Fermi energy, states/eV/f.u.: 1.771
# Final energy, eV/atom: -1.755
data_BeTlZn2
_chemical_formula_sum 'Be4 Tl4 Zn8'
_cell_length_a 4.359
_cell_length_b 4.359
_cell_length_c 16.472
_cell_angle_alpha 90.00
_cell_angle_beta 90.00
_cell_angle_gamma 90.00
_space_group_name_H-M_alt 'I -4 2 d'
_space_group_IT_number 122
_space_group_name_Hall 'I -4 2bw'
loop_
_atom_site_label
_atom_site_type_symbol
_atom_site_fract_x
_atom_site_fract_y
_atom_site_fract_z
Be1 Be 0.000 0.000 0.000
Tl1 Tl 0.000 0.000 0.500
Zn1 Zn 0.133 0.250 0.125



(4)
# BeTlZn2 (PBE-GGA, relaxed)
# Volume, A^3/atom: 18.22
# DOS at the Fermi energy, states/eV/f.u.: 1.076
# Final energy, eV/atom: -1.789
data_BeTlZn2
_chemical_formula_sum 'Be1 Tl1 Zn2'
_cell_length_a 3.243
_cell_length_b 4.157
_cell_length_c 5.632
_cell_angle_alpha 90.00
_cell_angle_beta 106.24
_cell_angle_gamma 90.00
_space_group_name_H-M_alt 'P 1 m 1'
_space_group_IT_number 6
_space_group_name_Hall 'P -2y'
loop_
_atom_site_label
_atom_site_type_symbol
_atom_site_fract_x
_atom_site_fract_y
_atom_site_fract_z
Be1 Be 0.000 0.000 0.000
Tl1 Tl 0.848 0.500 0.707
Zn1 Zn 0.114 0.500 0.233
Zn2 Zn 0.659 0.000 0.327



(5)
# BeTlZn2 (PBE-GGA, relaxed)
# Volume, A^3/atom: 19.43
# DOS at the Fermi energy, states/eV/f.u.: 1.518
# Final energy, eV/atom: -1.894
data_BeTlZn2
_chemical_formula_sum 'Be2 Tl2 Zn4'
_cell_length_a 7.145
_cell_length_b 4.098
_cell_length_c 5.656
_cell_angle_alpha 90.00
_cell_angle_beta 110.19
_cell_angle_gamma 90.00
_space_group_name_H-M_alt 'C 1 2/m 1'
_space_group_IT_number 12
_space_group_name_Hall '-C 2y'
loop_
_atom_site_label
_atom_site_type_symbol
_atom_site_fract_x
_atom_site_fract_y
_atom_site_fract_z
Be1 Be 0.000 0.000 0.000
Tl1 Tl 0.000 0.500 0.500
Zn1 Zn 0.189 0.500 0.078



(6)
# BeTlZn2 (PBE-GGA, relaxed)
# Volume, A^3/atom: 17.45
# DOS at the Fermi energy, states/eV/f.u.: 1.294
# Final energy, eV/atom: -1.748
data_BeTlZn2
_chemical_formula_sum 'Be2 Tl2 Zn4'
_cell_length_a 2.873
_cell_length_b 4.548
_cell_length_c 10.681
_cell_angle_alpha 90.00
_cell_angle_beta 90.00
_cell_angle_gamma 90.00
_space_group_name_H-M_alt 'I m m m'
_space_group_IT_number 71
_space_group_name_Hall '-I 2 2'
loop_
_atom_site_label
_atom_site_type_symbol
_atom_site_fract_x
_atom_site_fract_y
_atom_site_fract_z
Be1 Be 0.000 0.000 0.000
Tl1 Tl 0.000 0.000 0.500
Zn1 Zn 0.000 0.500 0.296



(7)
# BeTlZn2 (PBE-GGA, relaxed)
# Volume, A^3/atom: 17.92
# DOS at the Fermi energy, states/eV/f.u.: 1.167
# Final energy, eV/atom: -1.777
data_BeTlZn2
_chemical_formula_sum 'Be1 Tl1 Zn2'
_cell_length_a 3.585
_cell_length_b 4.196
_cell_length_c 5.055
_cell_angle_alpha 90.00
_cell_angle_beta 109.48
_cell_angle_gamma 90.00
_space_group_name_H-M_alt 'P 1 2/m 1'
_space_group_IT_number 10
_space_group_name_Hall '-P 2y'
loop_
_atom_site_label
_atom_site_type_symbol
_atom_site_fract_x
_atom_site_fract_y
_atom_site_fract_z
Be1 Be 0.000 0.000 0.000
Tl1 Tl 0.000 0.000 0.500
Zn1 Zn 0.338 0.500 0.209



(8)
# BeTlZn2 (PBE-GGA, relaxed)
# Volume, A^3/atom: 17.65
# DOS at the Fermi energy, states/eV/f.u.: 0.892
# Final energy, eV/atom: -1.735
data_BeTlZn2
_chemical_formula_sum 'Be2 Tl2 Zn4'
_cell_length_a 5.049
_cell_length_b 7.647
_cell_length_c 3.656
_cell_angle_alpha 90.00
_cell_angle_beta 90.31
_cell_angle_gamma 90.00
_space_group_name_H-M_alt 'C 1 2/m 1'
_space_group_IT_number 12
_space_group_name_Hall '-C 2y'
loop_
_atom_site_label
_atom_site_type_symbol
_atom_site_fract_x
_atom_site_fract_y
_atom_site_fract_z
Be1 Be 0.000 0.000 0.000
Tl1 Tl 0.000 0.500 0.000
Zn1 Zn 0.250 0.250 0.500



(9)
# BeTl2Zn (PBE-GGA, relaxed)
# Volume, A^3/atom: 21.57
# DOS at the Fermi energy, states/eV/f.u.: 1.400
# Final energy, eV/atom: -1.936
data_BeTl2Zn
_chemical_formula_sum 'Be2 Tl4 Zn2'
_cell_length_a 8.242
_cell_length_b 3.535
_cell_length_c 6.176
_cell_angle_alpha 90.00
_cell_angle_beta 106.48
_cell_angle_gamma 90.00
_space_group_name_H-M_alt 'C 1 2/m 1'
_space_group_IT_number 12
_space_group_name_Hall '-C 2y'
loop_
_atom_site_label
_atom_site_type_symbol
_atom_site_fract_x
_atom_site_fract_y
_atom_site_fract_z
Be1 Be 0.000 0.000 0.000
Tl1 Tl 0.237 0.500 0.226
Zn1 Zn 0.000 0.500 0.500



(10)
# BeTl2Zn (PBE-GGA, relaxed)
# Volume, A^3/atom: 21.75
# DOS at the Fermi energy, states/eV/f.u.: 1.335
# Final energy, eV/atom: -2.040
data_BeTl2Zn
_chemical_formula_sum 'Be3 Tl6 Zn3'
_cell_length_a 3.4095
_cell_length_b 3.4095
_cell_length_c 25.9315
_cell_angle_alpha 90.00
_cell_angle_beta 90.00
_cell_angle_gamma 120.00
_space_group_name_H-M_alt 'R 3 m'
_space_group_IT_number 160
_space_group_name_Hall 'R 3 -2"'
loop_
_atom_site_label
_atom_site_type_symbol
_atom_site_fract_x
_atom_site_fract_y
_atom_site_fract_z
Be1 Be 0.0000 0.0000 0.0000
Tl1 Tl 0.0000 0.0000 0.5214
Tl2 Tl 0.0000 0.0000 0.7430
Zn1 Zn 0.0000 0.0000 0.2805



(11)
# BeTl2Zn (PBE-GGA, relaxed)
# Volume, A^3/atom: 21.81
# DOS at the Fermi energy, states/eV/f.u.: 1.193
# Final energy, eV/atom: -1.868
data_BeTl2Zn
_chemical_formula_sum 'Be4 Tl8 Zn4'
_cell_length_a 7.040
_cell_length_b 7.040
_cell_length_c 7.040
_cell_angle_alpha 90.00
_cell_angle_beta 90.00
_cell_angle_gamma 90.00
_space_group_name_H-M_alt 'F m -3 m'
_space_group_IT_number 225
_space_group_name_Hall '-F 4 2 3'
loop_
_atom_site_label
_atom_site_type_symbol
_atom_site_fract_x
_atom_site_fract_y
_atom_site_fract_z
Be1 Be 0.000 0.000 0.000
Tl1 Tl 0.250 0.250 0.250
Zn1 Zn 0.000 0.000 0.500



(12)
# BeTl2Zn (PBE-GGA, relaxed)
# Volume, A^3/atom: 22.02
# DOS at the Fermi energy, states/eV/f.u.: 1.491
# Final energy, eV/atom: -1.871
data_BeTl2Zn
_chemical_formula_sum 'Be2 Tl4 Zn2'
_cell_length_a 4.023
_cell_length_b 4.023
_cell_length_c 10.881
_cell_angle_alpha 90.00
_cell_angle_beta 90.00
_cell_angle_gamma 90.00
_space_group_name_H-M_alt 'I -4 m 2'
_space_group_IT_number 119
_space_group_name_Hall 'I -4 -2'
loop_
_atom_site_label
_atom_site_type_symbol
_atom_site_fract_x
_atom_site_fract_y
_atom_site_fract_z
Be1 Be 0.000 0.000 0.000
Tl1 Tl 0.000 0.000 0.500
Tl2 Tl 0.000 0.500 0.750
Zn1 Zn 0.000 0.500 0.250